[1]
A PBEsol-optimized structure of Y2ZrAl, computed with SCAN.

Lattice parameters (Å, degrees): 3.339 3.339 8.782 90.00 90.00 90.00
Element x y z (fractional)
Y: 0.000 0.000 0.000
Y: 0.500 0.500 0.315
Zr: 0.000 0.000 0.570
Al: 0.500 0.500 0.774

For the energy, the calculation gives -94.7 eV/cell. As for the volume: 24.479 A^3/atom. As for the space group: P4mm. The calculation puts the formation energy at -0.152 eV/atom.



[2]
A PBEsol-optimized structure of MnTe3Pd, computed with SCAN.

Lattice parameters (Å, degrees): 5.203 5.203 5.203 90.00 90.00 90.00
Element x y z (fractional)
Mn: 0.000 0.000 0.000
Te: 0.000 0.500 0.500
Te: 0.500 0.000 0.500
Te: 0.500 0.500 0.000
Pd: 0.500 0.500 0.500

For the energy, the calculation gives -161.1 eV/cell. As for the volume: 28.176 A^3/atom. As for the space group: Pm-3m. The uncorrected formation energy is 0.34 eV/atom.



[3]
A PBEsol-optimized structure of Mg2NiGePb, computed with SCAN.

Lattice parameters (Å, degrees): 5.213 5.213 5.410 90.00 90.00 90.00
Element x y z (fractional)
Mg: 0.000 0.500 0.000
Mg: 0.500 0.000 0.000
Ni: 0.000 0.000 0.500
Ge: 0.500 0.500 0.500
Pb: 0.500 0.500 0.000

For the energy, the calculation gives -115.5 eV/cell. As for the volume: 29.405 A^3/atom. As for the space group: P4/mmm. The calculation puts the formation energy at 1.102 eV/atom.



[4]
A PBEsol-optimized structure of KBaN2F, computed with SCAN.

Lattice parameters (Å, degrees): 5.319 5.319 4.980 90.00 90.00 90.00
Element x y z (fractional)
K: 0.000 0.000 0.000
Ba: 0.500 0.500 0.500
N: 0.000 0.500 0.500
N: 0.500 0.000 0.500
F: 0.500 0.500 0.000

For the energy, the calculation gives -70.8 eV/cell. As for the volume: 28.175 A^3/atom. As for the space group: P4/mmm. The uncorrected formation energy is -0.16 eV/atom.



[5]
A PBEsol-optimized structure of Cd2InPb, computed with SCAN.

Lattice parameters (Å, degrees): 3.267 5.186 5.948 90.00 90.13 90.00
Element x y z (fractional)
Cd: 0.001 0.000 0.246
Cd: 0.999 0.000 0.754
In: 0.000 0.500 0.500
Pb: 0.500 0.500 0.000

For the energy, the calculation gives -169.6 eV/cell. As for the volume: 25.190 A^3/atom. As for the space group: P2/m. The calculation puts the formation energy at 0.087 eV/atom.



[6]
A PBEsol-optimized structure of ErBO3, computed with SCAN.

Lattice parameters (Å, degrees): 7.089 8.891 9.682 81.33 85.42 77.26
Element x y z (fractional)
Er: 0.066 0.059 0.156
Er: 0.073 0.556 0.655
Er: 0.237 0.941 0.529
Er: 0.249 0.457 0.021
Er: 0.402 0.065 0.830
Er: 0.402 0.568 0.337
Er: 0.598 0.432 0.663
Er: 0.598 0.935 0.170
Er: 0.751 0.543 0.979
Er: 0.763 0.059 0.471
Er: 0.927 0.444 0.345
Er: 0.934 0.941 0.844
B: 0.023 0.215 0.577
B: 0.033 0.720 0.114
B: 0.281 0.717 0.808
B: 0.331 0.228 0.294
B: 0.386 0.243 0.552
B: 0.394 0.747 0.053
B: 0.606 0.253 0.947
B: 0.614 0.757 0.448
B: 0.669 0.772 0.706
B: 0.719 0.283 0.192
B: 0.967 0.280 0.886
B: 0.977 0.785 0.423
O: 0.030 0.189 0.426
O: 0.048 0.408 0.873
O: 0.065 0.908 0.352
O: 0.067 0.130 0.916
O: 0.072 0.627 0.412
O: 0.090 0.686 0.870
O: 0.229 0.175 0.629
O: 0.233 0.681 0.138
O: 0.253 0.385 0.262
O: 0.254 0.885 0.765
O: 0.333 0.132 0.195
O: 0.343 0.627 0.694
O: 0.346 0.410 0.536
O: 0.350 0.913 0.035
O: 0.421 0.163 0.420
O: 0.422 0.659 0.927
O: 0.433 0.315 0.869
O: 0.439 0.819 0.371
O: 0.561 0.181 0.629
O: 0.567 0.685 0.131
O: 0.578 0.341 0.073
O: 0.579 0.837 0.580
O: 0.650 0.087 0.965
O: 0.654 0.590 0.464
O: 0.657 0.373 0.306
O: 0.667 0.868 0.805
O: 0.746 0.115 0.235
O: 0.747 0.615 0.738
O: 0.767 0.319 0.862
O: 0.771 0.825 0.371
O: 0.910 0.314 0.130
O: 0.928 0.373 0.588
O: 0.933 0.870 0.084
O: 0.935 0.092 0.648
O: 0.952 0.592 0.127
O: 0.970 0.811 0.574

For the energy, the calculation gives -1121.0 eV/cell. As for the volume: 9.796 A^3/atom. As for the space group: P-1. The uncorrected formation energy is -3.39 eV/atom.



[7]
A PBEsol-optimized structure of Sr3Au, computed with SCAN.

Lattice parameters (Å, degrees): 4.359 4.359 31.781 90.00 90.00 120.00
Element x y z (fractional)
Sr: 0.000 0.000 0.000
Sr: 0.000 0.000 0.222
Sr: 0.000 0.000 0.778
Sr: 0.333 0.667 0.445
Sr: 0.333 0.667 0.667
Sr: 0.333 0.667 0.888
Sr: 0.667 0.333 0.112
Sr: 0.667 0.333 0.333
Sr: 0.667 0.333 0.555
Au: 0.000 0.000 0.500
Au: 0.333 0.667 0.167
Au: 0.667 0.333 0.833

For the energy, the calculation gives -413.7 eV/cell. As for the volume: 43.584 A^3/atom. As for the space group: R-3m. The calculation puts the formation energy at -0.475 eV/atom.



[8]
A PBEsol-optimized structure of NiRh3, computed with SCAN.

Lattice parameters (Å, degrees): 4.265 5.282 4.564 90.00 90.00 90.00
Element x y z (fractional)
Ni: 0.250 0.250 0.170
Ni: 0.750 0.750 0.830
Rh: 0.250 0.502 0.668
Rh: 0.250 0.750 0.158
Rh: 0.250 0.998 0.668
Rh: 0.750 0.002 0.332
Rh: 0.750 0.250 0.842
Rh: 0.750 0.498 0.332

For the energy, the calculation gives -234.6 eV/cell. As for the volume: 12.852 A^3/atom. As for the space group: Pmmn. The calculation puts the formation energy at 0.053 eV/atom.



> Which of these has the highest energy?

KBaN2F